A relaxed Pm4NdHg5 crystal, computed with PBE.

Properties
- Uncorrected energy: -3.00 eV per atom
- Spin magnetization: 2.2 μB per formula unit
- DFT formation energy: -474 meV/atom

abc: 3.8252 3.8252 19.0101
angles: 90.00 90.00 90.00
Space group P4/mmm (No. 123)
Inequivalent atoms, fractional coordinates:
Pm 0.0000 0.0000 0.0996 [2 per cell]
Pm 0.0000 0.0000 0.2990 [2 per cell]
Nd 0.0000 0.0000 0.5000 [1 per cell]
Hg 0.5000 0.5000 0.0000 [1 per cell]
Hg 0.5000 0.5000 0.1994 [2 per cell]
Hg 0.5000 0.5000 0.3980 [2 per cell]